# 1
DFT (PBE) results for a geometry-optimized Ba2Zn2ClF7 structure. Values from VASP.

Summary:
VASP energy ... -113.097 eV per cell

Quantum ESPRESSO input file:
```
&SYSTEM
  ibrav = 0, nat = 24, ntyp = 4
/
ATOMIC_SPECIES
Ba 137.33 Ba.upf
Cl 35.45 Cl.upf
F 19.00 F.upf
Zn 65.41 Zn.upf
CELL_PARAMETERS angstrom
-6.3551 0.9519 4.0237
2.3094 -2.9828 4.3531
5.2663 6.8266 1.8838
ATOMIC_POSITIONS crystal
Ba 0.2950 0.2500 0.0722
Ba 0.6726 0.7500 0.4129
Ba 0.3274 0.2500 0.5871
Ba 0.7050 0.7500 0.9278
Cl 0.8830 0.2500 0.4700
Cl 0.1170 0.7500 0.5300
F 0.2601 0.7500 0.0682
F 0.6230 0.0041 0.1594
F 0.6230 0.4959 0.1594
F 0.9951 0.5015 0.1687
F 0.9951 0.9985 0.1687
F 0.3661 0.0030 0.3476
F 0.3661 0.4970 0.3476
F 0.6339 0.5030 0.6524
F 0.6339 0.9970 0.6524
F 0.0049 0.0015 0.8313
F 0.0049 0.4985 0.8313
F 0.3770 0.5041 0.8406
F 0.3770 0.9959 0.8406
F 0.7399 0.2500 0.9318
Zn 0.8133 0.2500 0.1757
Zn 0.1771 0.7500 0.2700
Zn 0.8229 0.2500 0.7300
Zn 0.1867 0.7500 0.8243
```

# 2
DFT (PBE) results for a geometry-optimized UAlNi structure. Values from VASP.

Summary:
VASP energy ... -38.169 eV per cell

Quantum ESPRESSO input file:
```
&SYSTEM
  ibrav = 0, nat = 6, ntyp = 3
/
ATOMIC_SPECIES
Al 26.98 Al.upf
Ni 58.69 Ni.upf
U 238.03 U.upf
CELL_PARAMETERS angstrom
-0.6183 -1.2612 -4.5075
0.2707 -3.3053 3.3603
-5.7799 0.2590 0.7204
ATOMIC_POSITIONS crystal
Al 0.3333 0.6667 0.2500
Al 0.6667 0.3333 0.7500
Ni 0.0000 0.0000 0.0000
Ni 0.0000 0.0000 0.5000
U 0.6667 0.3333 0.2500
U 0.3333 0.6667 0.7500
```

# 3
DFT (PBE) results for a geometry-optimized PrGe4S3 structure. Values from VASP.

Summary:
VASP energy ... -37.387 eV per cell

Quantum ESPRESSO input file:
```
&SYSTEM
  ibrav = 0, nat = 8, ntyp = 3
/
ATOMIC_SPECIES
Ge 72.64 Ge.upf
Pr 140.91 Pr.upf
S 32.06 S.upf
CELL_PARAMETERS angstrom
6.4727 0.0000 0.0000
0.0000 3.5107 0.0000
-1.0247 0.0000 7.6868
ATOMIC_POSITIONS crystal
Ge 0.1221 0.5000 0.1268
Ge 0.6756 0.5000 0.4621
Ge 0.3342 0.0000 0.6162
Ge 0.9192 0.0000 0.8946
Pr 0.5328 0.0000 0.1245
S 0.9508 0.0000 0.2909
S 0.9715 0.5000 0.6648
S 0.4939 0.5000 0.8201
```

# 4
DFT (PBE) results for a geometry-optimized Tb2ErSi5 structure. Values from VASP.

Summary:
VASP energy ... -46.334 eV per cell

Quantum ESPRESSO input file:
```
&SYSTEM
  ibrav = 0, nat = 8, ntyp = 3
/
ATOMIC_SPECIES
Er 167.26 Er.upf
Si 28.09 Si.upf
Tb 158.93 Tb.upf
CELL_PARAMETERS angstrom
-4.0801 -0.8344 0.4323
0.4692 -4.6680 -4.5821
0.9782 -1.5169 6.3046
ATOMIC_POSITIONS crystal
Er 0.0000 0.0173 0.0173
Si 0.5000 0.9967 0.3292
Si 0.5000 0.3940 0.3940
Si 0.5000 0.9312 0.6659
Si 0.5000 0.6659 0.9312
Si 0.5000 0.3292 0.9967
Tb 0.0000 0.6636 0.3101
Tb 0.0000 0.3101 0.6636
```

# 5
DFT (PBE) results for a geometry-optimized FeSnMo4N2 structure. Values from VASP.

Summary:
VASP energy ... -71.501 eV per cell

Quantum ESPRESSO input file:
```
&SYSTEM
  ibrav = 0, nat = 8, ntyp = 4
/
ATOMIC_SPECIES
Fe 55.84 Fe.upf
Mo 95.94 Mo.upf
N 14.01 N.upf
Sn 118.71 Sn.upf
CELL_PARAMETERS angstrom
3.1521 0.0000 0.0000
-1.5760 2.7298 0.0000
0.0000 0.0000 12.9022
ATOMIC_POSITIONS crystal
Fe 0.0000 0.0000 0.5000
Mo 0.0000 0.0000 0.1797
Mo 0.3333 0.6667 0.3466
Mo 0.3333 0.6667 0.6534
Mo 0.0000 0.0000 0.8203
N 0.6667 0.3333 0.2590
N 0.6667 0.3333 0.7410
Sn 0.3333 0.6667 0.0000
```

# 6
DFT (PBE) results for a geometry-optimized Nd2Sm2C2I4Cl structure. Values from VASP.

Summary:
VASP energy ... -57.895 eV per cell

Quantum ESPRESSO input file:
```
&SYSTEM
  ibrav = 0, nat = 11, ntyp = 5
/
ATOMIC_SPECIES
C 12.01 C.upf
Cl 35.45 Cl.upf
I 126.90 I.upf
Nd 144.24 Nd.upf
Sm 150.36 Sm.upf
CELL_PARAMETERS angstrom
-7.5951 4.4608 5.2350
-8.8325 0.6974 5.1470
5.5132 -1.9558 6.1147
ATOMIC_POSITIONS crystal
C 0.4644 0.4644 0.4829
C 0.5356 0.5356 0.5171
Cl 0.5000 0.5000 0.0000
I 0.8402 0.8402 0.1324
I 0.1664 0.1664 0.3007
I 0.8336 0.8336 0.6993
I 0.1598 0.1598 0.8676
Nd 0.3486 0.3486 0.4197
Nd 0.6514 0.6514 0.5803
Sm 0.0000 0.0000 0.3009
Sm 0.0000 0.0000 0.6991
```

Number 1: calculated density 5.17 g/cm³. Number 2: calculated density 9.55 g/cm³. Number 3: calculated density 5.02 g/cm³. Number 4: calculated density 6.65 g/cm³. Number 5: calculated density 8.77 g/cm³. Number 6: calculated density 5.84 g/cm³.